Here is TaIn2Ru at its PBEsol-relaxed geometry from Alexandria via LeMat-Bulk. Energies are from meta-GGA SCAN.

```
TaIn2Ru
1.0
3.055 0.000 0.000
0.000 3.055 0.000
0.000 0.000 8.151
Ta In Ru
1 2 1
direct
0.000 0.000 0.000 Ta
0.000 0.000 0.587 In
0.500 0.500 0.260 In
0.500 0.500 0.819 Ru
```

The calculation puts the mass density at 11.17 g/cm³. As for the crystal system: tetragonal. The density of states at the Fermi level is 0.6480 states/eV/atom. The calculation puts the energy relative to the lowest polymorph listed for this composition at 0.0 meV/atom. As for the total magnetic moment: 0.00 μB per formula unit. The calculation puts the energy relative to the elements at -41 meV/atom.

=====

Here is InTc2Ru at its PBEsol-relaxed geometry from Alexandria via LeMat-Bulk. Energies are from meta-GGA SCAN.

```
InTc2Ru
1.0
3.102 0.000 0.000
0.000 4.246 0.000
0.000 0.000 4.590
In Tc Ru
1 2 1
direct
0.000 0.000 0.000 In
0.000 0.500 0.500 Tc
0.500 0.000 0.500 Tc
0.500 0.500 0.000 Ru
```

The calculation puts the mass density at 11.31 g/cm³. As for the crystal system: orthorhombic. The density of states at the Fermi level is 0.7959 states/eV/atom. As for the total magnetic moment: 0.00 μB per formula unit. The calculation puts the energy relative to the elements at 326 meV/atom.

=====

Here is InTcRu2 at its PBEsol-relaxed geometry from Alexandria via LeMat-Bulk. Energies are from meta-GGA SCAN.

```
InTcRu2
1.0
2.824 0.000 0.000
0.000 2.824 0.000
0.000 0.000 7.472
In Tc Ru
1 1 2
direct
0.000 0.000 0.000 In
0.000 0.000 0.500 Tc
0.500 0.500 0.271 Ru
0.500 0.500 0.729 Ru
```

The calculation puts the mass density at 11.56 g/cm³. As for the crystal system: tetragonal. The density of states at the Fermi level is 0.8712 states/eV/atom. As for the total magnetic moment: 0.00 μB per formula unit. The calculation puts the energy relative to the elements at 78 meV/atom.